VASP calculation (PBE) on crystalline KPmTiO4 at its relaxed geometry.

POSCAR file:
```
KPmTiO4
1.0
-0.341 6.055 0.368
-5.882 -0.240 -1.498
-1.652 -2.459 6.883
K Pm Ti O
2 2 2 8
direct
0.680 0.750 0.915
0.320 0.250 0.085
0.807 0.750 0.449
0.193 0.250 0.551
0.276 0.750 0.337
0.724 0.250 0.663
0.931 0.479 0.673
0.069 0.979 0.327
0.069 0.521 0.327
0.931 0.021 0.673
0.480 0.750 0.196
0.520 0.250 0.804
0.469 0.750 0.562
0.531 0.250 0.438
```

Properties
**Density of states at the Fermi level**: 0.00 states/eV per atom
**E_form (uncorrected)**: -2894 meV per atom
**Theoretical density**: 3.680 Mg/m³
**Symmetry**: P2_1/m
**Total magnetic moment**: 0.000 μB/f.u.